DFT (PBE) results for MgP after structural relaxation.

a b c (Å): 8.276 8.109 5.469
angles (deg): 72.16 68.86 38.98
Element x y z (fractional)
Mg (0.083, 0.667, 0.083)
Mg (0.333, 0.917, 0.333)
Mg (0.667, 0.083, 0.667)
Mg (0.917, 0.333, 0.917)
P (0.010, 0.010, 0.740)
P (0.260, 0.260, 0.990)
P (0.740, 0.740, 0.010)
P (0.990, 0.990, 0.260)

Output
**Symmetry**: Fddd (70)
**Density**: 1.7 g/cm3
**ΔE_f**: -0.1226 eV per atom